(1)
DFT (PBE) results for crystalline PrSnTe at its relaxed geometry.

a = 4.341 Å, b = 4.341 Å, c = 19.640 Å
α = 90.00°, β = 90.00°, γ = 90.00°
Atoms (fractional coordinates):
Pr  0.000  0.000  0.141
Pr  0.000  0.000  0.859
Pr  0.500  0.500  0.359
Pr  0.500  0.500  0.641
Sn  0.000  0.500  0.000
Sn  0.000  0.500  0.500
Sn  0.500  0.000  0.000
Sn  0.500  0.000  0.500
Te  0.000  0.000  0.311
Te  0.000  0.000  0.689
Te  0.500  0.500  0.189
Te  0.500  0.500  0.811

Results
Raw formation energy (eV per atom): -1.0066
V (Å³/cell): 370.03

---

(2)
DFT (PBE) results for crystalline Ac3Ga2SiPt6 at its relaxed geometry.

a = 5.948 Å, b = 5.948 Å, c = 8.925 Å
α = 90.00°, β = 90.00°, γ = 120.00°
Atoms (fractional coordinates):
Ac  0.000  0.000  0.000
Ac  0.333  0.667  0.630
Ac  0.667  0.333  0.370
Ga  0.333  0.667  0.068
Ga  0.667  0.333  0.932
Si  0.000  0.000  0.500
Pt  0.170  0.341  0.299
Pt  0.170  0.830  0.299
Pt  0.341  0.170  0.701
Pt  0.659  0.830  0.299
Pt  0.830  0.170  0.701
Pt  0.830  0.659  0.701

Results
Raw formation energy (eV per atom): -0.8820
V (Å³/cell): 273.45

---

(3)
DFT (PBE) results for crystalline Tl2InF8 at its relaxed geometry.

a = 6.946 Å, b = 6.946 Å, c = 4.504 Å
α = 90.00°, β = 90.00°, γ = 120.00°
Atoms (fractional coordinates):
Tl  0.333  0.667  0.252
Tl  0.667  0.333  0.748
In  0.000  0.000  0.500
F  0.148  0.297  0.250
F  0.150  0.852  0.250
F  0.297  0.150  0.750
F  0.333  0.667  0.753
F  0.667  0.333  0.247
F  0.703  0.850  0.250
F  0.850  0.148  0.750
F  0.852  0.703  0.750

Results
E above lowest polymorph (eV per atom): 0.067
Raw formation energy (eV per atom): -1.9571
V (Å³/cell): 188.21

---

Which of these has the highest V? PrSnTe